{"formula": "Li2ZnReF", "functional": "PBE", "state": "relaxed", "vol_a3_per_cell": 107.1, "magnetic_moment_mub_per_cell": 2.21, "e_tot_ev_per_atom": -3.442, "spacegroup": "P4/mmm (123)", "e_form_raw_ev_per_atom": 0.442, "lattice_angstrom": [[-3.151, -0.044, 4.102], [-1.522, -4.791, -1.221], [2.948, -1.509, 2.248]], "species": ["Re", "Zn", "Li", "Li", "F"], "fractional_positions": [[0.000, 0.000, 0.000], [0.500, 0.500, 0.500], [0.000, 0.500, 0.000], [0.500, 0.000, 0.000], [0.000, 0.000, 0.500]]}



{"formula": "Li2ZnReF", "functional": "PBE", "state": "relaxed", "vol_a3_per_cell": 70.5, "magnetic_moment_mub_per_cell": 0.00, "e_tot_ev_per_atom": -4.225, "spacegroup": "P4/mmm (123)", "e_form_raw_ev_per_atom": -0.341, "lattice_angstrom": [[3.610, 0.000, 0.000], [0.000, 5.407, 0.000], [0.000, 0.000, 3.610]], "species": ["Re", "Zn", "Li", "Li", "F"], "fractional_positions": [[0.500, 0.500, 0.500], [0.000, 0.500, 0.000], [0.000, 0.000, 0.500], [0.500, 0.000, 0.000], [0.000, 0.000, 0.000]]}



{"formula": "Li3RhF6", "functional": "PBE", "state": "relaxed", "vol_a3_per_cell": 222.9, "magnetic_moment_mub_per_cell": 0.33, "e_tot_ev_per_atom": -4.832, "spacegroup": "R-3 (148)", "e_form_raw_ev_per_atom": -2.400, "lattice_angstrom": [[-3.020, 5.239, -0.455], [-0.519, -0.941, -5.968], [-5.162, -3.010, 1.032]], "species": ["Li", "Li", "Li", "Li", "Li", "Li", "Rh", "Rh", "F", "F", "F", "F", "F", "F", "F", "F", "F", "F", "F", "F"], "fractional_positions": [[0.447, 0.935, 0.750], [0.935, 0.750, 0.447], [0.250, 0.553, 0.065], [0.750, 0.447, 0.935], [0.065, 0.250, 0.553], [0.553, 0.065, 0.250], [0.000, 0.000, 0.000], [0.500, 0.500, 0.500], [0.309, 0.917, 0.082], [0.083, 0.918, 0.691], [0.604, 0.812, 0.458], [0.918, 0.691, 0.083], [0.458, 0.604, 0.812], [0.188, 0.542, 0.396], [0.812, 0.458, 0.604], [0.542, 0.396, 0.188], [0.082, 0.309, 0.917], [0.396, 0.188, 0.542], [0.917, 0.082, 0.309], [0.691, 0.083, 0.918]]}